First-principles (PBE) data for NdErNO after structural relaxation, as listed in the Open Quantum Materials Database.

Geometry as CIF:
```
data_NdErNO
_cell_length_a 6.675
_cell_length_b 8.198
_cell_length_c 5.090
_cell_angle_alpha 90.00
_cell_angle_beta 90.00
_cell_angle_gamma 90.00
_space_group_name_H-M_alt 'P 1'
_space_group_IT_number 1
loop_
_space_group_symop_operation_xyz
'x,y,z'
loop_
_atom_site_label
_atom_site_type_symbol
_atom_site_fract_x
_atom_site_fract_y
_atom_site_fract_z
Er1 Er 0.574 0.381 0.052
N1 N 0.560 0.863 0.549
O1 O 0.599 0.385 0.553
O2 O 0.401 0.615 0.053
Er2 Er 0.926 0.381 0.552
Er3 Er 0.074 0.619 0.052
N2 N 0.940 0.863 0.049
Nd1 Nd 0.422 0.130 0.549
N3 N 0.060 0.137 0.549
Nd2 Nd 0.922 0.870 0.549
Nd3 Nd 0.578 0.870 0.049
O3 O 0.901 0.385 0.053
Er4 Er 0.426 0.619 0.552
N4 N 0.440 0.137 0.049
Nd4 Nd 0.078 0.130 0.049
O4 O 0.099 0.615 0.553
```

Calculated values
The value obtained for the offset from the most stable computed form is 85 meV/atom.

---

First-principles (PBE) data for Er4N3O after structural relaxation, as listed in the Open Quantum Materials Database.

Geometry as CIF:
```
data_Er4N3O
_cell_length_a 4.796
_cell_length_b 4.796
_cell_length_c 4.796
_cell_angle_alpha 90.00
_cell_angle_beta 90.00
_cell_angle_gamma 90.00
_space_group_name_H-M_alt 'P 1'
_space_group_IT_number 1
loop_
_space_group_symop_operation_xyz
'x,y,z'
loop_
_atom_site_label
_atom_site_type_symbol
_atom_site_fract_x
_atom_site_fract_y
_atom_site_fract_z
Er1 Er 0.500 0.500 0.500
N1 N 0.500 0.500 0.000
O1 O 0.000 0.000 0.000
Er2 Er 0.000 0.000 0.500
Er3 Er 0.500 0.000 0.000
Er4 Er 0.000 0.500 0.000
N2 N 0.500 0.000 0.500
N3 N 0.000 0.500 0.500
```

---

First-principles (PBE) data for ErPdNO after structural relaxation, as listed in the Open Quantum Materials Database.

Geometry as CIF:
```
data_ErPdNO
_cell_length_a 4.117
_cell_length_b 4.254
_cell_length_c 7.005
_cell_angle_alpha 90.00
_cell_angle_beta 90.00
_cell_angle_gamma 90.00
_space_group_name_H-M_alt 'P 1'
_space_group_IT_number 1
loop_
_space_group_symop_operation_xyz
'x,y,z'
loop_
_atom_site_label
_atom_site_type_symbol
_atom_site_fract_x
_atom_site_fract_y
_atom_site_fract_z
N1 N 0.000 0.935 0.324
O1 O 0.500 0.941 0.876
Er1 Er 0.500 0.441 0.812
Er2 Er 0.500 0.941 0.188
Pd1 Pd 0.000 0.936 0.615
O2 O 0.500 0.441 0.124
Pd2 Pd 0.000 0.436 0.385
N2 N 0.000 0.435 0.676
```

Calculated values
The value obtained for the offset from the most stable computed form is 180 meV/atom.

---

First-principles (PBE) data for ErPdNO after structural relaxation, as listed in the Open Quantum Materials Database.

Geometry as CIF:
```
data_ErPdNO
_cell_length_a 4.742
_cell_length_b 4.742
_cell_length_c 4.466
_cell_angle_alpha 90.00
_cell_angle_beta 90.00
_cell_angle_gamma 90.00
_space_group_name_H-M_alt 'P 1'
_space_group_IT_number 1
loop_
_space_group_symop_operation_xyz
'x,y,z'
loop_
_atom_site_label
_atom_site_type_symbol
_atom_site_fract_x
_atom_site_fract_y
_atom_site_fract_z
Pd1 Pd 0.750 0.750 0.995
Pd2 Pd 0.250 0.250 0.005
Er1 Er 0.750 0.250 0.500
N1 N 0.250 0.250 0.506
Er2 Er 0.250 0.750 0.500
N2 N 0.750 0.750 0.494
O1 O 0.750 0.250 0.000
O2 O 0.250 0.750 0.000
```

Calculated values
The value obtained for the offset from the most stable computed form is 325 meV/atom.

---

First-principles (PBE) data for ErPdNO after structural relaxation, as listed in the Open Quantum Materials Database.

Geometry as CIF:
```
data_ErPdNO
_cell_length_a 3.698
_cell_length_b 5.424
_cell_length_c 5.979
_cell_angle_alpha 90.00
_cell_angle_beta 90.00
_cell_angle_gamma 90.00
_space_group_name_H-M_alt 'P 1'
_space_group_IT_number 1
loop_
_space_group_symop_operation_xyz
'x,y,z'
loop_
_atom_site_label
_atom_site_type_symbol
_atom_site_fract_x
_atom_site_fract_y
_atom_site_fract_z
N1 N 0.000 0.902 0.342
Pd1 Pd 0.500 0.994 0.265
O1 O 0.500 0.373 0.138
N2 N 0.000 0.402 0.658
O2 O 0.500 0.873 0.862
Er1 Er 0.000 0.985 0.713
Pd2 Pd 0.500 0.494 0.735
Er2 Er 0.000 0.485 0.287
```

Calculated values
The value obtained for the offset from the most stable computed form is 427 meV/atom.

---

First-principles (PBE) data for ErPdNO after structural relaxation, as listed in the Open Quantum Materials Database.

Geometry as CIF:
```
data_ErPdNO
_cell_length_a 5.498
_cell_length_b 7.583
_cell_length_c 5.387
_cell_angle_alpha 90.00
_cell_angle_beta 90.00
_cell_angle_gamma 90.00
_space_group_name_H-M_alt 'P 1'
_space_group_IT_number 1
loop_
_space_group_symop_operation_xyz
'x,y,z'
loop_
_atom_site_label
_atom_site_type_symbol
_atom_site_fract_x
_atom_site_fract_y
_atom_site_fract_z
O1 O 0.252 0.533 0.119
Er1 Er 0.964 0.638 0.875
N1 N 0.857 0.843 0.195
Er2 Er 0.536 0.638 0.375
Er3 Er 0.036 0.362 0.375
O2 O 0.752 0.467 0.119
O3 O 0.248 0.533 0.619
Er4 Er 0.464 0.362 0.875
Pd1 Pd 0.440 0.033 0.514
N2 N 0.357 0.157 0.195
Pd2 Pd 0.060 0.033 0.014
N3 N 0.143 0.157 0.695
Pd3 Pd 0.940 0.967 0.514
O4 O 0.748 0.467 0.619
Pd4 Pd 0.560 0.967 0.014
N4 N 0.643 0.843 0.695
```

Calculated values
The value obtained for the offset from the most stable computed form is 0 meV/atom.

---

First-principles (PBE) data for ErPdNO after structural relaxation, as listed in the Open Quantum Materials Database.

Geometry as CIF:
```
data_ErPdNO
_cell_length_a 4.136
_cell_length_b 4.136
_cell_length_c 7.027
_cell_angle_alpha 90.00
_cell_angle_beta 90.00
_cell_angle_gamma 90.00
_space_group_name_H-M_alt 'P 1'
_space_group_IT_number 1
loop_
_space_group_symop_operation_xyz
'x,y,z'
loop_
_atom_site_label
_atom_site_type_symbol
_atom_site_fract_x
_atom_site_fract_y
_atom_site_fract_z
N1 N 0.500 0.000 0.556
O1 O 0.500 0.500 0.000
Pd1 Pd 0.500 0.500 0.500
N2 N 0.000 0.500 0.444
Er1 Er 0.500 0.000 0.871
Pd2 Pd 0.000 0.000 0.500
Er2 Er 0.000 0.500 0.129
O2 O 0.000 0.000 0.000
```

Calculated values
The value obtained for the offset from the most stable computed form is 70 meV/atom.

---

First-principles (PBE) data for ErPdNO after structural relaxation, as listed in the Open Quantum Materials Database.

Geometry as CIF:
```
data_ErPdNO
_cell_length_a 4.765
_cell_length_b 4.765
_cell_length_c 4.449
_cell_angle_alpha 90.00
_cell_angle_beta 90.00
_cell_angle_gamma 90.00
_space_group_name_H-M_alt 'P 1'
_space_group_IT_number 1
loop_
_space_group_symop_operation_xyz
'x,y,z'
loop_
_atom_site_label
_atom_site_type_symbol
_atom_site_fract_x
_atom_site_fract_y
_atom_site_fract_z
Er1 Er 0.500 0.500 0.500
O1 O 0.000 0.000 0.000
Pd1 Pd 0.000 0.500 0.001
O2 O 0.500 0.500 0.000
Er2 Er 0.000 0.000 0.500
Pd2 Pd 0.500 0.000 0.999
N1 N 0.000 0.500 0.501
N2 N 0.500 0.000 0.499
```

Calculated values
The value obtained for the offset from the most stable computed form is 322 meV/atom.

---

First-principles (PBE) data for PmErNO after structural relaxation, as listed in the Open Quantum Materials Database.

Geometry as CIF:
```
data_PmErNO
_cell_length_a 4.409
_cell_length_b 4.409
_cell_length_c 8.255
_cell_angle_alpha 90.00
_cell_angle_beta 90.00
_cell_angle_gamma 90.00
_space_group_name_H-M_alt 'P 1'
_space_group_IT_number 1
loop_
_space_group_symop_operation_xyz
'x,y,z'
loop_
_atom_site_label
_atom_site_type_symbol
_atom_site_fract_x
_atom_site_fract_y
_atom_site_fract_z
O1 O 0.000 0.000 0.000
Er1 Er 0.500 0.500 0.500
Pm1 Pm 0.000 0.500 0.105
O2 O 0.500 0.500 0.000
N1 N 0.000 0.500 0.568
Pm2 Pm 0.500 0.000 0.895
N2 N 0.500 0.000 0.432
Er2 Er 0.000 0.000 0.500
```

Calculated values
The value obtained for the offset from the most stable computed form is 390 meV/atom.

---

First-principles (PBE) data for PmErNO after structural relaxation, as listed in the Open Quantum Materials Database.

Geometry as CIF:
```
data_PmErNO
_cell_length_a 4.941
_cell_length_b 4.941
_cell_length_c 4.854
_cell_angle_alpha 90.00
_cell_angle_beta 90.00
_cell_angle_gamma 90.00
_space_group_name_H-M_alt 'P 1'
_space_group_IT_number 1
loop_
_space_group_symop_operation_xyz
'x,y,z'
loop_
_atom_site_label
_atom_site_type_symbol
_atom_site_fract_x
_atom_site_fract_y
_atom_site_fract_z
N1 N 0.000 0.500 0.499
O1 O 0.500 0.500 0.000
Pm1 Pm 0.000 0.000 0.500
N2 N 0.500 0.000 0.501
Pm2 Pm 0.500 0.500 0.500
O2 O 0.000 0.000 0.000
Er1 Er 0.500 0.000 0.000
Er2 Er 0.000 0.500 0.000
```

Calculated values
The value obtained for the offset from the most stable computed form is 0 meV/atom.

---

no.,calculated total energy (eV/cell)
1,-123.6
2,-65.1
3,-56.5
4,-55.3
5,-54.5
6,-115.8
7,-57.4
8,-55.3
9,-59.7
10,-62.8